(1)
KSb12Os4: relaxed, PBE.

Structure (CIF):
```
data_KSb12Os4
_space_group_name_H-M_alt 'I m -3'
_space_group_IT_number 204
_space_group_name_Hall '-I 2 2 3'
_cell_length_a 9.450
_cell_length_b 9.450
_cell_length_c 9.450
_cell_angle_alpha 90.00
_cell_angle_beta 90.00
_cell_angle_gamma 90.00
loop_
_atom_site_label
_atom_site_type_symbol
_atom_site_fract_x
_atom_site_fract_y
_atom_site_fract_z
K1 K 0.000 0.000 0.000
Sb1 Sb 0.000 0.342 0.158
Os1 Os 0.250 0.250 0.250
```

**Total magnetic moment**: 0.0 μB per formula unit
**E_tot**: -5.675 eV/atom
**Formation energy from raw total energies**: -0.06 eV per atom
**Mass density**: 8.90 g cm⁻³



(2)
KSb3Os: relaxed, PBE.

Structure (CIF):
```
data_KSb3Os
_space_group_name_H-M_alt 'P m -3 m'
_space_group_IT_number 221
_space_group_name_Hall '-P 4 2 3'
_cell_length_a 5.449
_cell_length_b 5.449
_cell_length_c 5.449
_cell_angle_alpha 90.00
_cell_angle_beta 90.00
_cell_angle_gamma 90.00
loop_
_atom_site_label
_atom_site_type_symbol
_atom_site_fract_x
_atom_site_fract_y
_atom_site_fract_z
K1 K 0.000 0.000 0.000
Sb1 Sb 0.000 0.000 0.500
Os1 Os 0.500 0.500 0.500
```

**Total magnetic moment**: 0.0 μB per formula unit
**E_tot**: -2.410 eV/atom
**Formation energy from raw total energies**: 2.53 eV per atom
**Polymorph energy (0 for the lowest one)**: 2116 meV/atom
**Mass density**: 6.10 g cm⁻³



(3)
K4SbOs: relaxed, PBE.

Structure (CIF):
```
data_K4SbOs
_space_group_name_H-M_alt 'F -4 3 m'
_space_group_IT_number 216
_space_group_name_Hall 'F -4 2 3'
_cell_length_a 9.292
_cell_length_b 9.292
_cell_length_c 9.292
_cell_angle_alpha 90.00
_cell_angle_beta 90.00
_cell_angle_gamma 90.00
loop_
_atom_site_label
_atom_site_type_symbol
_atom_site_fract_x
_atom_site_fract_y
_atom_site_fract_z
K1 K 0.125 0.125 0.125
Sb1 Sb 0.000 0.000 0.500
Os1 Os 0.250 0.250 0.750
```

**Total magnetic moment**: 2.9 μB per formula unit
**E_tot**: -2.210 eV/atom
**Formation energy from raw total energies**: 1.08 eV per atom
**Mass density**: 3.88 g cm⁻³